No. 1
Here is an optimized crystal structure of Ho2AlAu6 from Alexandria via LeMat-Bulk. Energies are from PBE.

Calculated values
- Calculated formation energy: -0.6471 eV/atom
- Size of the total moment: 0.0 μB per formula unit
- Volume: 20.41 A^3/atom

```
data_Ho2AlAu6
_chemical_formula_sum 'Ho2 Al1 Au6'
_space_group_name_H-M_alt 'P -3 m 1'
_space_group_IT_number 164
_space_group_name_Hall '-P 3 2"'
_cell_length_a 6.2927
_cell_length_b 6.2927
_cell_length_c 5.3572
_cell_angle_alpha 90.00
_cell_angle_beta 90.00
_cell_angle_gamma 120.00
loop_
_atom_site_label
_atom_site_fract_x
_atom_site_fract_y
_atom_site_fract_z
Ho1 0.3333 0.6667 0.3237
Al1 0.0000 0.0000 0.5000
Au1 0.1812 0.3623 0.8020
```

=====

No. 2
Here is an optimized crystal structure of HoP4Ru6 from Alexandria via LeMat-Bulk. Energies are from PBE.

Calculated values
- Calculated formation energy: -0.7558 eV/atom
- Size of the total moment: 0.0 μB per formula unit
- Volume: 14.17 A^3/atom

```
data_HoP4Ru6
_chemical_formula_sum 'Ho1 P4 Ru6'
_space_group_name_H-M_alt 'P -6 m 2'
_space_group_IT_number 187
_space_group_name_Hall 'P -6 2'
_cell_length_a 6.9408
_cell_length_b 6.9408
_cell_length_c 3.7348
_cell_angle_alpha 90.00
_cell_angle_beta 90.00
_cell_angle_gamma 120.00
loop_
_atom_site_label
_atom_site_fract_x
_atom_site_fract_y
_atom_site_fract_z
Ho1 0.0000 0.0000 0.0000
P1 0.1895 0.3790 0.5000
P2 0.6667 0.3333 0.0000
Ru1 0.0699 0.5349 0.0000
Ru2 0.3973 0.1987 0.5000
```

=====

No. 3
Here is an optimized crystal structure of Be3InW from Alexandria via LeMat-Bulk. Energies are from PBE.

Calculated values
- Calculated formation energy: 1.8488 eV/atom
- Size of the total moment: 1.7 μB per formula unit
- Relative energy among the computed polymorphs: 13.391 kcal/mol of atoms
- Volume: 16.08 A^3/atom

```
data_Be3InW
_chemical_formula_sum 'Be3 In1 W1'
_space_group_name_H-M_alt 'P m -3 m'
_space_group_IT_number 221
_space_group_name_Hall '-P 4 2 3'
_cell_length_a 4.316
_cell_length_b 4.316
_cell_length_c 4.316
_cell_angle_alpha 90.00
_cell_angle_beta 90.00
_cell_angle_gamma 90.00
loop_
_atom_site_label
_atom_site_fract_x
_atom_site_fract_y
_atom_site_fract_z
Be1 0.000 0.000 0.500
In1 0.000 0.000 0.000
W1 0.500 0.500 0.500
```